VASP calculation (PBE+U) on Sr2Pr2TlNi2O9 after structural relaxation.

Symmetry: No. 42
Total energy (eV per atom): -6.185

Cell lengths 15.292, 3.827, 15.288 Å; angles 82.88, 14.38, 82.74 degrees
Fractional positions:
Sr: 0.084 0.916 0.084
Sr: 0.916 0.084 0.916
Pr: 0.203 0.799 0.201
Pr: 0.799 0.203 0.797
Tl: 0.468 0.468 0.532
Ni: 0.356 0.647 0.353
Ni: 0.647 0.356 0.644
O: 0.039 0.039 0.961
O: 0.149 0.352 0.147
O: 0.283 0.721 0.279
O: 0.352 0.149 0.351
O: 0.442 0.582 0.418
O: 0.582 0.442 0.558
O: 0.649 0.853 0.648
O: 0.721 0.283 0.717
O: 0.853 0.649 0.851